[1]
ZrZnSb2 | Alexandria | PBE | relaxed; energy relative to the elements, uncorrected = -0.56 eV per formula unit; size of the total moment = 0.00 μB/cell; total energy = -18.631 eV/cell
1.0
2.0613 -2.4812 0.0000
2.0613 2.4812 0.0000
0.0000 0.0000 9.3884
Zr Zn Sb
1 1 2
direct
0.0000 0.0000 0.0000
0.5000 0.5000 0.2002
0.0000 0.0000 0.4030
0.5000 0.5000 0.7633


[2]
CuPNCl2 | Alexandria | PBE | relaxed; energy above the most stable polymorph in this dataset = 0.3715 eV/atom; energy relative to the elements, uncorrected = 6.39 eV per formula unit; size of the total moment = 1.64 μB/cell; total energy = -15.136 eV/cell
1.0
4.7544 0.0000 0.0000
0.0000 4.7544 0.0000
0.0000 0.0000 4.5845
Cu P N Cl
1 1 1 2
direct
0.0000 0.0000 0.0000
0.0000 0.0000 0.5000
0.5000 0.5000 0.5000
0.0000 0.5000 0.0000
0.5000 0.0000 0.0000


[3]
Mn4VPt5 | Alexandria | PBE | relaxed; size of the total moment = 0.02 μB/cell; energy relative to the elements = -0.392 eV per atom; total energy = -79.925 eV/cell
1.0
2.8532 0.0000 0.0000
0.0000 2.8532 0.0000
0.0000 0.0000 18.2861
Mn V Pt
4 1 5
direct
0.0000 0.0000 0.0993
0.0000 0.0000 0.2984
0.0000 0.0000 0.7016
0.0000 0.0000 0.9007
0.0000 0.0000 0.5000
0.5000 0.5000 0.0000
0.5000 0.5000 0.1984
0.5000 0.5000 0.4021
0.5000 0.5000 0.5979
0.5000 0.5000 0.8016


Which value of total energy does entry 1 give?
-18.631 eV/cell


Repeat the first record exactly.
ZrZnSb2 | Alexandria | PBE | relaxed; energy relative to the elements, uncorrected = -0.56 eV per formula unit; size of the total moment = 0.00 μB/cell; total energy = -18.631 eV/cell
1.0
2.0613 -2.4812 0.0000
2.0613 2.4812 0.0000
0.0000 0.0000 9.3884
Zr Zn Sb
1 1 2
direct
0.0000 0.0000 0.0000
0.5000 0.5000 0.2002
0.0000 0.0000 0.4030
0.5000 0.5000 0.7633